A plane-wave DFT calculation with GGA-PBE was carried out for a geometry-optimized Ba2CaPd structure.

## Properties
ΔE to the lowest computed polymorph (meV per atom): 155.0
Energy of formation (eV/atom): -0.1923

Lattice parameters (Å, degrees): 11.4614 11.4614 5.8005 90.00 90.00 90.00
Space group I-42d (No. 122)
Symmetry-distinct sites (fractional):
Ba  0.1087  0.2500  0.1250 x8
Ca  0.0000  0.0000  0.5000 x4
Pd  0.0000  0.0000  0.0000 x4